[1]
Entry from Alexandria via LeMat-Bulk: a relaxed RbLiTeI6 crystal (PBE-GGA).

Results
Total magnetic moment   0.00 μB/f.u.
Uncorrected formation energy   -0.65 eV per atom

```
data_RbLiTeI6
_symmetry_space_group_name_H-M 'P 3 1 2'
_symmetry_Int_Tables_number 149
_symmetry_space_group_name_Hall 'P 3 2'
_cell_length_a 7.7255
_cell_length_b 7.7255
_cell_length_c 8.2426
_cell_angle_alpha 90.00
_cell_angle_beta 90.00
_cell_angle_gamma 120.00
loop_
_atom_site_label
_atom_site_fract_x
_atom_site_fract_y
_atom_site_fract_z
Rb1 0.0000 0.0000 0.0000
Li1 0.3333 0.6667 0.5000
Te1 0.6667 0.3333 0.5000
I1 0.9996 0.3719 0.7090
```

---

[2]
Entry from Alexandria via LeMat-Bulk: a relaxed RbLiTeI2 crystal (PBE-GGA).

Results
Total magnetic moment   1.31 μB/f.u.
Distance to the lowest polymorph of the same formula   0.0000 eV/atom
Uncorrected formation energy   -0.68 eV per atom

```
data_RbLiTeI2
_symmetry_space_group_name_H-M 'P 4/m m m'
_symmetry_Int_Tables_number 123
_symmetry_space_group_name_Hall '-P 4 2'
_cell_length_a 5.9226
_cell_length_b 5.9226
_cell_length_c 5.3441
_cell_angle_alpha 90.00
_cell_angle_beta 90.00
_cell_angle_gamma 90.00
loop_
_atom_site_label
_atom_site_fract_x
_atom_site_fract_y
_atom_site_fract_z
Rb1 0.0000 0.0000 0.0000
Li1 0.5000 0.5000 0.5000
Te1 0.5000 0.5000 0.0000
I1 0.0000 0.5000 0.5000
```

---

[3]
Entry from Alexandria via LeMat-Bulk: a relaxed RbLi2TeI crystal (PBE-GGA).

Results
Total magnetic moment   0.00 μB/f.u.
Uncorrected formation energy   -1.15 eV per atom

```
data_RbLi2TeI
_symmetry_space_group_name_H-M 'I 4 m m'
_symmetry_Int_Tables_number 107
_symmetry_space_group_name_Hall 'I 4 -2'
_cell_length_a 4.6436
_cell_length_b 4.6436
_cell_length_c 15.4089
_cell_angle_alpha 90.00
_cell_angle_beta 90.00
_cell_angle_gamma 90.00
loop_
_atom_site_label
_atom_site_fract_x
_atom_site_fract_y
_atom_site_fract_z
Rb1 0.0000 0.0000 0.0000
Li1 0.0000 0.5000 0.2182
Te1 0.0000 0.0000 0.6241
I1 0.0000 0.0000 0.3320
```

---

[4]
Entry from Alexandria via LeMat-Bulk: a relaxed Rb2LiTeI6 crystal (PBE-GGA).

Results
Total magnetic moment   0.00 μB/f.u.
Distance to the lowest polymorph of the same formula   0.0056 eV/atom
Uncorrected formation energy   -0.79 eV per atom

```
data_Rb2LiTeI6
_symmetry_space_group_name_H-M 'R -3 m'
_symmetry_Int_Tables_number 166
_symmetry_space_group_name_Hall '-R 3 2"'
_cell_length_a 8.3575
_cell_length_b 8.3575
_cell_length_c 43.6283
_cell_angle_alpha 90.00
_cell_angle_beta 90.00
_cell_angle_gamma 120.00
loop_
_atom_site_label
_atom_site_fract_x
_atom_site_fract_y
_atom_site_fract_z
Rb1 0.0000 0.0000 0.1125
Rb2 0.0000 0.0000 0.3027
Li1 0.0000 0.0000 0.4210
Te1 0.0000 0.0000 0.0000
Te2 0.0000 0.0000 0.5000
I1 0.0070 0.5035 0.8748
I2 0.0169 0.5085 0.2925
```

---

[5]
Entry from Alexandria via LeMat-Bulk: a relaxed RbLiTeI2 crystal (PBE-GGA).

Results
Total magnetic moment   2.06 μB/f.u.
Distance to the lowest polymorph of the same formula   0.5656 eV/atom
Uncorrected formation energy   -0.11 eV per atom

```
data_RbLiTeI2
_symmetry_space_group_name_H-M 'P 4/m m m'
_symmetry_Int_Tables_number 123
_symmetry_space_group_name_Hall '-P 4 2'
_cell_length_a 6.8863
_cell_length_b 6.8863
_cell_length_c 6.6525
_cell_angle_alpha 90.00
_cell_angle_beta 90.00
_cell_angle_gamma 90.00
loop_
_atom_site_label
_atom_site_fract_x
_atom_site_fract_y
_atom_site_fract_z
Rb1 0.0000 0.0000 0.0000
Li1 0.5000 0.5000 0.5000
Te1 0.0000 0.0000 0.5000
I1 0.0000 0.5000 0.0000
```

---

[6]
Entry from Alexandria via LeMat-Bulk: a relaxed Rb2LiTeI6 crystal (PBE-GGA).

Results
Total magnetic moment   0.99 μB/f.u.
Distance to the lowest polymorph of the same formula   0.0000 eV/atom
Uncorrected formation energy   -0.80 eV per atom

```
data_Rb2LiTeI6
_symmetry_space_group_name_H-M 'I 4/m m m'
_symmetry_Int_Tables_number 139
_symmetry_space_group_name_Hall '-I 4 2'
_cell_length_a 8.5047
_cell_length_b 8.5047
_cell_length_c 12.4011
_cell_angle_alpha 90.00
_cell_angle_beta 90.00
_cell_angle_gamma 90.00
loop_
_atom_site_label
_atom_site_fract_x
_atom_site_fract_y
_atom_site_fract_z
Rb1 0.0000 0.5000 0.2500
Li1 0.0000 0.0000 0.0000
Te1 0.0000 0.0000 0.5000
I1 0.0000 0.0000 0.2241
I2 0.2448 0.2448 0.5000
```

---

[7]
Entry from Alexandria via LeMat-Bulk: a relaxed Rb2LiThI6 crystal (PBE-GGA).

Results
Total magnetic moment   1.04 μB/f.u.
Uncorrected formation energy   -1.19 eV per atom

```
data_Rb2LiThI6
_symmetry_space_group_name_H-M 'P m m n'
_symmetry_Int_Tables_number 59
_cell_length_a 8.5828
_cell_length_b 12.1788
_cell_length_c 8.6194
_cell_angle_alpha 90.00
_cell_angle_beta 90.00
_cell_angle_gamma 90.00
loop_
_symmetry_equiv_pos_as_xyz
'x,y,z'
'-x,-y,-z'
'-x+1/2,-y+1/2,z'
'x+1/2,y+1/2,-z'
'x+1/2,-y,-z'
'-x+1/2,y,z'
'-x,y+1/2,-z'
'x,-y+1/2,z'
loop_
_atom_site_label
_atom_site_fract_x
_atom_site_fract_y
_atom_site_fract_z
Rb1 0.2500 0.0129 0.2399
Li1 0.2500 0.7500 0.7483
Th1 0.2500 0.2500 0.7490
I1 0.0051 0.7500 0.5079
I2 0.0054 0.7500 0.9934
I3 0.2500 0.5059 0.7528
```

---

[8]
Entry from Alexandria via LeMat-Bulk: a relaxed RbLi2ThI8 crystal (PBE-GGA).

Results
Total magnetic moment   0.23 μB/f.u.
Uncorrected formation energy   -1.08 eV per atom

```
data_RbLi2ThI8
_symmetry_space_group_name_H-M 'C 1 2/m 1'
_symmetry_Int_Tables_number 12
_symmetry_space_group_name_Hall '-C 2y'
_cell_length_a 13.7033
_cell_length_b 8.1507
_cell_length_c 10.6037
_cell_angle_alpha 90.00
_cell_angle_beta 92.23
_cell_angle_gamma 90.00
loop_
_atom_site_label
_atom_site_fract_x
_atom_site_fract_y
_atom_site_fract_z
Rb1 0.0000 0.0000 0.0000
Li1 0.1680 0.5000 0.7376
Th1 0.0000 0.0000 0.5000
I1 0.0167 0.2587 0.7110
I2 0.2235 0.0000 0.4804
I3 0.2343 0.5000 0.9851
```

---

[9]
Entry from Alexandria via LeMat-Bulk: a relaxed Rb2LiTiI6 crystal (PBE-GGA).

Results
Total magnetic moment   1.00 μB/f.u.
Distance to the lowest polymorph of the same formula   0.0000 eV/atom
Uncorrected formation energy   -1.11 eV per atom

```
data_Rb2LiTiI6
_symmetry_space_group_name_H-M 'R -3 m'
_symmetry_Int_Tables_number 166
_symmetry_space_group_name_Hall '-R 3 2"'
_cell_length_a 8.2117
_cell_length_b 8.2117
_cell_length_c 41.2781
_cell_angle_alpha 90.00
_cell_angle_beta 90.00
_cell_angle_gamma 120.00
loop_
_atom_site_label
_atom_site_fract_x
_atom_site_fract_y
_atom_site_fract_z
Rb1 0.0000 0.0000 0.1157
Rb2 0.0000 0.0000 0.2941
Li1 0.0000 0.0000 0.0000
Li2 0.0000 0.0000 0.5000
Ti1 0.0000 0.0000 0.4161
I1 0.0095 0.5047 0.2913
I2 0.0097 0.5048 0.1218
```

---

[10]
Entry from Alexandria via LeMat-Bulk: a relaxed Rb2LiTiI6 crystal (PBE-GGA).

Results
Total magnetic moment   1.00 μB/f.u.
Distance to the lowest polymorph of the same formula   0.0190 eV/atom
Uncorrected formation energy   -1.09 eV per atom

```
data_Rb2LiTiI6
_symmetry_space_group_name_H-M 'I 4/m m m'
_symmetry_Int_Tables_number 139
_symmetry_space_group_name_Hall '-I 4 2'
_cell_length_a 8.2301
_cell_length_b 8.2301
_cell_length_c 11.6269
_cell_angle_alpha 90.00
_cell_angle_beta 90.00
_cell_angle_gamma 90.00
loop_
_atom_site_label
_atom_site_fract_x
_atom_site_fract_y
_atom_site_fract_z
Rb1 0.0000 0.5000 0.2500
Li1 0.0000 0.0000 0.0000
Ti1 0.0000 0.0000 0.5000
I1 0.0000 0.0000 0.2568
I2 0.2429 0.2429 0.5000
```

---

[11]
Entry from Alexandria via LeMat-Bulk: a relaxed RbLiTl2I4 crystal (PBE-GGA).

Results
Total magnetic moment   0.00 μB/f.u.
Uncorrected formation energy   -0.95 eV per atom

```
data_RbLiTl2I4
_symmetry_space_group_name_H-M 'C 1 2/c 1'
_symmetry_Int_Tables_number 15
_symmetry_space_group_name_Hall '-C 2yc'
_cell_length_a 14.0291
_cell_length_b 13.9603
_cell_length_c 9.8858
_cell_angle_alpha 90.00
_cell_angle_beta 134.76
_cell_angle_gamma 90.00
loop_
_atom_site_label
_atom_site_fract_x
_atom_site_fract_y
_atom_site_fract_z
Rb1 0.0000 0.0000 0.0000
Li1 0.2500 0.2500 0.0000
Tl1 0.0000 0.5000 0.0000
Tl2 0.2500 0.2500 0.5000
I1 0.0006 0.2532 0.9909
I2 0.2433 0.4618 0.9933
```

---

[12]
Entry from Alexandria via LeMat-Bulk: a relaxed RbLiTlI3 crystal (PBE-GGA).

Results
Total magnetic moment   0.00 μB/f.u.
Uncorrected formation energy   -1.11 eV per atom

```
data_RbLiTlI3
_symmetry_space_group_name_H-M 'P 1 21/m 1'
_symmetry_Int_Tables_number 11
_symmetry_space_group_name_Hall '-P 2yb'
_cell_length_a 10.7276
_cell_length_b 4.8402
_cell_length_c 10.8758
_cell_angle_alpha 90.00
_cell_angle_beta 99.73
_cell_angle_gamma 90.00
loop_
_atom_site_label
_atom_site_fract_x
_atom_site_fract_y
_atom_site_fract_z
Rb1 0.1680 0.2500 0.2047
Li1 0.0867 0.2500 0.5968
Tl1 0.3535 0.7500 0.8453
I1 0.1048 0.2500 0.8500
I2 0.1723 0.7500 0.5024
I3 0.4138 0.7500 0.1609
```

---

[13]
Entry from Alexandria via LeMat-Bulk: a relaxed Rb2LiTlI6 crystal (PBE-GGA).

Results
Total magnetic moment   0.00 μB/f.u.
Distance to the lowest polymorph of the same formula   0.0304 eV/atom
Uncorrected formation energy   -0.88 eV per atom

```
data_Rb2LiTlI6
_symmetry_space_group_name_H-M 'F m -3 m'
_symmetry_Int_Tables_number 225
_symmetry_space_group_name_Hall '-F 4 2 3'
_cell_length_a 11.9992
_cell_length_b 11.9992
_cell_length_c 11.9992
_cell_angle_alpha 90.00
_cell_angle_beta 90.00
_cell_angle_gamma 90.00
loop_
_atom_site_label
_atom_site_fract_x
_atom_site_fract_y
_atom_site_fract_z
Rb1 0.2500 0.2500 0.2500
Li1 0.0000 0.0000 0.0000
Tl1 0.0000 0.0000 0.5000
I1 0.0000 0.0000 0.2474
```

---

[14]
Entry from Alexandria via LeMat-Bulk: a relaxed Rb3LiTl4I8 crystal (PBE-GGA).

Results
Total magnetic moment   0.00 μB/f.u.
Uncorrected formation energy   -1.01 eV per atom

```
data_Rb3LiTl4I8
_symmetry_space_group_name_H-M 'C 1 2/m 1'
_symmetry_Int_Tables_number 12
_symmetry_space_group_name_Hall '-C 2y'
_cell_length_a 17.5204
_cell_length_b 10.1348
_cell_length_c 10.0436
_cell_angle_alpha 90.00
_cell_angle_beta 124.62
_cell_angle_gamma 90.00
loop_
_atom_site_label
_atom_site_fract_x
_atom_site_fract_y
_atom_site_fract_z
Rb1 0.0000 0.0000 0.0000
Rb2 0.2500 0.2500 0.0000
Li1 0.0000 0.5000 0.0000
Tl1 0.0000 0.0000 0.5000
Tl2 0.0000 0.5000 0.5000
Tl3 0.2500 0.2500 0.5000
I1 0.0035 0.2803 0.2303
I2 0.2441 0.0000 0.7373
I3 0.2460 0.5000 0.7392
```

---

[15]
Entry from Alexandria via LeMat-Bulk: a relaxed Rb2LiTl3I6 crystal (PBE-GGA).

Results
Total magnetic moment   0.00 μB/f.u.
Uncorrected formation energy   -1.00 eV per atom

```
data_Rb2LiTl3I6
_symmetry_space_group_name_H-M 'C 1 2/m 1'
_symmetry_Int_Tables_number 12
_symmetry_space_group_name_Hall '-C 2y'
_cell_length_a 8.7268
_cell_length_b 15.0191
_cell_length_c 8.6365
_cell_angle_alpha 90.00
_cell_angle_beta 110.17
_cell_angle_gamma 90.00
loop_
_atom_site_label
_atom_site_fract_x
_atom_site_fract_y
_atom_site_fract_z
Rb1 0.0000 0.1646 0.0000
Li1 0.0000 0.5000 0.0000
Tl1 0.0000 0.0000 0.5000
Tl2 0.0000 0.3302 0.5000
I1 0.2189 0.3555 0.2288
I2 0.2234 0.5000 0.7401
```

---

[16]
Entry from Alexandria via LeMat-Bulk: a relaxed Rb3LiTl2I6 crystal (PBE-GGA).

Results
Total magnetic moment   0.00 μB/f.u.
Uncorrected formation energy   -1.14 eV per atom

```
data_Rb3LiTl2I6
_symmetry_space_group_name_H-M 'C 1 2/m 1'
_symmetry_Int_Tables_number 12
_symmetry_space_group_name_Hall '-C 2y'
_cell_length_a 8.7429
_cell_length_b 15.1387
_cell_length_c 8.7115
_cell_angle_alpha 90.00
_cell_angle_beta 109.69
_cell_angle_gamma 90.00
loop_
_atom_site_label
_atom_site_fract_x
_atom_site_fract_y
_atom_site_fract_z
Rb1 0.0000 0.0000 0.0000
Rb2 0.0000 0.3259 0.0000
Li1 0.0000 0.5000 0.5000
Tl1 0.0000 0.1643 0.5000
I1 0.2269 0.3466 0.7218
I2 0.2283 0.5000 0.2768
```

---

[17]
Entry from Alexandria via LeMat-Bulk: a relaxed Rb2LiTlI5 crystal (PBE-GGA).

Results
Total magnetic moment   0.00 μB/f.u.
Uncorrected formation energy   -1.04 eV per atom

```
data_Rb2LiTlI5
_symmetry_space_group_name_H-M 'C m c 21'
_symmetry_Int_Tables_number 36
_symmetry_space_group_name_Hall 'C 2c -2'
_cell_length_a 4.8755
_cell_length_b 20.8798
_cell_length_c 15.5620
_cell_angle_alpha 90.00
_cell_angle_beta 90.00
_cell_angle_gamma 90.00
loop_
_atom_site_label
_atom_site_fract_x
_atom_site_fract_y
_atom_site_fract_z
Rb1 0.0000 0.1063 0.0000
Rb2 0.0000 0.1283 0.6363
Li1 0.0000 0.4391 0.7467
Tl1 0.0000 0.2064 0.3397
I1 0.0000 0.0505 0.3382
I2 0.0000 0.2860 0.9829
I3 0.0000 0.3079 0.6925
I4 0.0000 0.3576 0.3216
I5 0.0000 0.4975 0.0946
```

---

[18]
Entry from Alexandria via LeMat-Bulk: a relaxed Rb2LiTlI6 crystal (PBE-GGA).

Results
Total magnetic moment   0.00 μB/f.u.
Distance to the lowest polymorph of the same formula   0.0000 eV/atom
Uncorrected formation energy   -0.91 eV per atom

```
data_Rb2LiTlI6
_symmetry_space_group_name_H-M 'P 1 21/c 1'
_symmetry_Int_Tables_number 14
_symmetry_space_group_name_Hall '-P 2ybc'
_cell_length_a 8.1146
_cell_length_b 8.6417
_cell_length_c 14.2820
_cell_angle_alpha 90.00
_cell_angle_beta 123.16
_cell_angle_gamma 90.00
loop_
_atom_site_label
_atom_site_fract_x
_atom_site_fract_y
_atom_site_fract_z
Rb1 0.2169 0.0857 0.2502
Li1 0.0000 0.0000 0.5000
Tl1 0.5000 0.0000 0.0000
I1 0.1544 0.1911 0.9605
I2 0.2651 0.6889 0.9708
I3 0.3305 0.5111 0.2515
```

---

[19]
Entry from Alexandria via LeMat-Bulk: a relaxed RbLi2TmI6 crystal (PBE-GGA).

Results
Total magnetic moment   0.00 μB/f.u.
Uncorrected formation energy   -1.29 eV per atom

```
data_RbLi2TmI6
_symmetry_space_group_name_H-M 'P 1'
_symmetry_Int_Tables_number 1
_symmetry_space_group_name_Hall 'P 1'
_cell_length_a 7.9180
_cell_length_b 7.9215
_cell_length_c 8.5924
_cell_angle_alpha 90.02
_cell_angle_beta 117.41
_cell_angle_gamma 119.92
loop_
_atom_site_label
_atom_site_fract_x
_atom_site_fract_y
_atom_site_fract_z
Rb1 0.0000 0.0000 0.0000
Li1 0.5787 0.2901 0.8678
Li2 0.5962 0.7983 0.3960
Tm1 0.9609 0.4806 0.4409
I1 0.1076 0.4710 0.1747
I2 0.1110 0.2254 0.6483
I3 0.4231 0.8854 0.6478
I4 0.5388 0.0680 0.1754
I5 0.7041 0.6371 0.1750
I6 0.7627 0.5382 0.6481
```

---

| no. | volume (Å³/cell) |
| --- | --- |
| 1 | 426 |
| 2 | 187 |
| 3 | 332 |
| 4 | 2639 |
| 5 | 315 |
| 6 | 897 |
| 7 | 901 |
| 8 | 1183 |
| 9 | 2411 |
| 10 | 788 |
| 11 | 1375 |
| 12 | 557 |
| 13 | 1728 |
| 14 | 1468 |
| 15 | 1063 |
| 16 | 1086 |
| 17 | 1584 |
| 18 | 838 |
| 19 | 396 |